Density functional theory data (GGA-PBE) for a relaxed structure of NaSr4Er3S8. Values from VASP.

Structure (Quantum ESPRESSO input):
```
&SYSTEM
  ibrav = 0, nat = 16, ntyp = 4
/
ATOMIC_SPECIES
Na 22.99 Na.upf
Sr 87.62 Sr.upf
Er 167.26 Er.upf
S 32.06 S.upf
CELL_PARAMETERS angstrom
-5.618 1.370 5.713
-2.480 -7.779 -0.573
7.817 1.644 1.509
ATOMIC_POSITIONS angstrom
Na -1.240 -3.889 -0.286
Sr -2.809 0.685 2.857
Sr 1.100 1.507 3.611
Sr 0.000 0.000 0.000
Sr 3.908 0.822 0.754
Er -4.049 -3.204 2.570
Er -0.140 -2.382 3.325
Er 2.668 -3.067 0.468
S 4.472 -3.707 2.473
S 0.671 -4.507 1.741
S 1.905 -0.932 2.097
S 1.739 -3.041 5.252
S -2.020 -1.724 1.397
S -2.186 -3.833 4.553
S -0.952 -0.257 4.908
S -4.753 -1.057 4.176
```

Space-group type = No. 166
ΔE_f (raw) = -1.99 eV/atom
DOS(E_F) = 0.27 states/eV per atom
Density = 4.90 g/cm3

Density functional theory data (GGA-PBE) for a relaxed structure of KAsPdCl6. Values from VASP.

Structure (Quantum ESPRESSO input):
```
&SYSTEM
  ibrav = 0, nat = 9, ntyp = 4
/
ATOMIC_SPECIES
K 39.10 K.upf
As 74.92 As.upf
Pd 106.42 Pd.upf
Cl 35.45 Cl.upf
CELL_PARAMETERS angstrom
-5.060 4.163 -0.813
-5.243 -1.833 -3.571
-3.038 -2.565 5.778
ATOMIC_POSITIONS angstrom
K -8.098 1.598 4.965
As -4.953 -0.506 1.428
Pd -8.387 0.271 -0.034
Cl -2.840 -1.425 0.386
Cl -4.018 -0.276 3.766
Cl -7.259 0.135 2.244
Cl -5.450 -2.953 1.825
Cl -6.062 -0.375 -0.842
Cl -4.090 1.859 1.187
```

Space-group type = No. 149
ΔE_f (raw) = -0.83 eV/atom
Density = 2.72 g/cm3

Density functional theory data (GGA-PBE) for a relaxed structure of Pu2AlS6. Values from VASP.

Structure (Quantum ESPRESSO input):
```
&SYSTEM
  ibrav = 0, nat = 9, ntyp = 3
/
ATOMIC_SPECIES
Pu 244.00 Pu.upf
Al 26.98 Al.upf
S 32.06 S.upf
CELL_PARAMETERS angstrom
-1.675 -1.378 -2.889
-0.985 -6.281 3.567
-5.035 5.255 0.414
ATOMIC_POSITIONS angstrom
Pu -2.335 -2.436 2.516
Pu -3.685 1.410 1.465
Al -0.838 -0.689 -1.445
S -0.754 -4.811 2.732
S -1.409 -0.240 0.931
S -3.857 4.025 0.317
S -3.058 1.628 -1.262
S -4.204 -1.263 0.781
S -1.272 -3.458 0.128
```

Space-group type = No. 189
ΔE_f (raw) = -1.02 eV/atom
DOS(E_F) = 1.55 states/eV per atom
Density = 7.06 g/cm3

Density functional theory data (GGA-PBE) for a relaxed structure of PrNdY6Er2. Values from VASP.

Structure (Quantum ESPRESSO input):
```
&SYSTEM
  ibrav = 0, nat = 20, ntyp = 4
/
ATOMIC_SPECIES
Pr 140.91 Pr.upf
Nd 144.24 Nd.upf
Y 88.91 Y.upf
Er 167.26 Er.upf
CELL_PARAMETERS angstrom
-3.757 7.751 -4.139
-7.890 -3.267 2.258
4.243 4.699 6.160
ATOMIC_POSITIONS angstrom
Pr -8.441 -1.074 1.348
Pr 1.037 10.257 2.931
Nd -1.666 3.373 3.527
Nd -5.738 5.809 0.752
Y 2.087 3.624 4.682
Y 0.171 6.793 4.170
Y -9.491 5.558 -0.403
Y -7.576 2.389 0.109
Y -7.114 1.320 3.600
Y -5.045 -0.368 0.616
Y -0.291 7.862 0.679
Y -2.359 9.551 3.663
Y -3.945 0.844 4.095
Y -4.284 2.688 1.384
Y -3.459 8.338 0.184
Y -3.120 6.494 2.895
Er -5.043 4.150 4.278
Er -1.711 0.350 1.675
Er -2.361 5.032 0.001
Er -5.693 8.832 2.604
```

Space-group type = No. 15
DOS(E_F) = 1.57 states/eV per atom
Density = 5.78 g/cm3
ΔH_f (0 K) = 0.1194 eV/atom

- The lowest density belongs to which entry?
  KAsPdCl6

- The highest density belongs to which entry?
  Pu2AlS6

- Which of these has the lowest density?
  KAsPdCl6